1.
# TaInB2

Crystalline TaInB2 at its relaxed geometry (PBE, Alexandria).

Results
For the density of states at the Fermi level, the calculation gives 0.42 states/eV/atom. As for the space group: I-42d. The value obtained for the total energy is -6.1835 eV/atom. The calculated volume comes out at 119.2 Å³/cell.

a = 5.982 Å, b = 5.982 Å, c = 5.383 Å
α = 56.25°, β = 56.25°, γ = 90.00°
Positions (direct):
B1 0.875 0.886 0.750
B2 0.636 0.125 0.250
B3 0.114 0.625 0.250
Ta1 0.750 0.250 0.500
In1 0.500 0.500 0.000
B4 0.375 0.364 0.750
In2 0.250 0.750 0.500
Ta2 0.000 0.000 0.000

2.
# HfMn2Ir2

Crystalline HfMn2Ir2 at its relaxed geometry (PBE, Alexandria).

Results
As for the energy above the most stable polymorph in this dataset: 0.179 eV per atom. For the density of states at the Fermi level, the calculation gives 1.42 states/eV/atom. As for the space group: I4/mmm. The value obtained for the total energy is -9.2984 eV/atom. The calculated volume comes out at 77.9 Å³/cell.

a = 3.716 Å, b = 3.716 Å, c = 6.223 Å
α = 72.63°, β = 72.63°, γ = 90.00°
Positions (direct):
Mn1 0.250 0.750 0.500
Ir1 0.390 0.390 0.221
Mn2 0.750 0.250 0.500
Ir2 0.610 0.610 0.779
Hf1 0.000 0.000 0.000

3.
# V6TcRh

Crystalline V6TcRh at its relaxed geometry (PBE, Alexandria).

Results
For the density of states at the Fermi level, the calculation gives 0.47 states/eV/atom. As for the space group: Cmmm. The value obtained for the total energy is -9.3345 eV/atom. The calculated volume comes out at 108.1 Å³/cell.

a = 4.236 Å, b = 5.208 Å, c = 5.208 Å
α = 109.79°, β = 90.00°, γ = 90.00°
Positions (direct):
V1 0.000 0.758 0.758
V2 0.500 0.000 0.500
V3 0.000 0.251 0.749
V4 0.500 0.500 0.000
Rh1 0.500 0.500 0.500
V5 0.000 0.749 0.251
V6 0.000 0.242 0.242
Tc1 0.500 0.000 0.000